! Li2Ce2NdSb2 (PBE-GGA, optimized geometry); values from VASP
&SYSTEM
  ibrav = 0, nat = 7, ntyp = 4
/
ATOMIC_SPECIES
Sb 121.76 Sb.upf
Li 6.94 Li.upf
Nd 144.24 Nd.upf
Ce 140.12 Ce.upf
CELL_PARAMETERS angstrom
-3.093 -2.828 -1.809
-0.839 -4.029 1.974
-8.047 1.704 5.338
ATOMIC_POSITIONS angstrom
Sb -9.280 -3.689 4.359
Li -7.738 -1.541 4.123
Sb -2.699 -1.463 1.144
Li -4.241 -3.612 1.380
Nd 0.000 0.000 0.000
Ce -5.119 -0.030 3.042
Ce -6.860 -5.123 2.461
! Symmetry: No. 166
! Magnetic moment: 2.366 μB/cell
! Raw total energy: -4.695 eV per atom